The following is a DFT calculation (PBE) of a geometry-optimized MgBi2Ru structure.

Values from the calculation:
Total magnetic moment (μB per cell): 0.0
Total energy (eV/atom): -4.17
SG: I-42d, No. 122

Cell lengths 6.4672, 6.4672, 7.8341 Å; angles 65.62, 65.62, 90.00 degrees
Closest atoms and distances in Å follow each position.
Fractional coordinates of all 8 atoms:
Bi 0.0793 0.6250 0.2500  2 Ru 2.62
Bi 0.3750 0.3293 0.7500  2 Ru 2.62
Bi 0.8750 0.9207 0.7500  2 Ru 2.62
Bi 0.6707 0.1250 0.2500  2 Ru 2.62
Mg 0.5000 0.5000 0.0000  4 Bi 2.97
Mg 0.2500 0.7500 0.5000  4 Bi 2.97
Ru 0.0000 0.0000 0.0000  4 Bi 2.62
Ru 0.7500 0.2500 0.5000  4 Bi 2.62


The following is a DFT calculation (PBE) of a geometry-optimized MgBiRu structure.

Values from the calculation:
Total magnetic moment (μB per cell): 0.0
Total energy (eV/atom): -4.85
SG: I4mm, No. 107

Cell lengths 3.2924, 3.2924, 6.4205 Å; angles 104.86, 104.86, 90.00 degrees
Closest atoms and distances in Å follow each position.
Fractional coordinates of all 3 atoms:
Mg 0.0364 0.0364 0.0728  4 Ru 2.79
Bi 0.2985 0.2985 0.5970  4 Ru 2.82, 1 Mg 3.14
Ru 0.6651 0.6651 0.3302  4 Mg 2.79, 4 Bi 2.82


The following is a DFT calculation (PBE) of a geometry-optimized MgBiRu structure.

Values from the calculation:
Total magnetic moment (μB per cell): 0.0
Total energy (eV/atom): -5.00
SG: P4/nmm, No. 129

Cell lengths 4.4801, 4.4801, 6.3758 Å; angles 90.00, 90.00, 90.00 degrees
Closest atoms and distances in Å follow each position.
Fractional coordinates of all 6 atoms:
Bi 0.5000 0.0000 0.7649  4 Ru 2.81, 1 Mg 3.09
Bi 0.0000 0.5000 0.2351  4 Ru 2.81, 1 Mg 3.09
Mg 0.0000 0.5000 0.7510  4 Ru 2.75
Mg 0.5000 0.0000 0.2490  4 Ru 2.75
Ru 0.0000 0.0000 0.5000  4 Mg 2.75, 4 Bi 2.81
Ru 0.5000 0.5000 0.5000  4 Mg 2.75, 4 Bi 2.81


The following is a DFT calculation (PBE) of a geometry-optimized Mg2BiRu2 structure.

Values from the calculation:
Total magnetic moment (μB per cell): 0.0
Total energy (eV/atom): -5.04
SG: P4/mbm, No. 127

Cell lengths 6.7327, 6.7327, 4.2966 Å; angles 90.00, 90.00, 90.00 degrees
Closest atoms and distances in Å follow each position.
Fractional coordinates of all 10 atoms:
Ru 0.1329 0.3671 0.0000  1 Ru 2.53, 2 Bi 2.63
Ru 0.3671 0.8671 0.0000  1 Ru 2.53, 2 Bi 2.63
Ru 0.8671 0.6329 0.0000  1 Ru 2.53, 2 Bi 2.63
Ru 0.6329 0.1329 0.0000  1 Ru 2.53, 2 Bi 2.63
Mg 0.1582 0.6582 0.5000  6 Ru 2.91-2.93, 1 Mg 3.01
Mg 0.8418 0.3418 0.5000  6 Ru 2.91-2.93, 1 Mg 3.01
Mg 0.6582 0.8418 0.5000  6 Ru 2.91-2.93, 1 Mg 3.01
Mg 0.3418 0.1582 0.5000  6 Ru 2.91-2.93, 1 Mg 3.01
Bi 0.0000 0.0000 0.0000  4 Ru 2.63
Bi 0.5000 0.5000 0.0000  4 Ru 2.63


The following is a DFT calculation (PBE) of a geometry-optimized MgBiRu structure.

Values from the calculation:
Total magnetic moment (μB per cell): 0.0
Total energy (eV/atom): -5.03
SG: Fmmm, No. 69

Cell lengths 4.4528, 7.1374, 4.4521 Å; angles 108.15, 90.07, 108.13 degrees
Closest atoms and distances in Å follow each position.
Fractional coordinates of all 6 atoms:
Ru 0.6134 0.1064 0.8947  4 Mg 2.71, 4 Bi 2.84
Ru 0.1137 0.1064 0.3945  4 Mg 2.71, 4 Bi 2.84
Bi 0.2506 0.3813 0.0319  4 Ru 2.84, 5 Mg 3.10-3.16
Bi 0.9763 0.8314 0.7571  4 Ru 2.84, 5 Mg 3.10-3.16
Mg 0.4937 0.8655 0.2743  4 Ru 2.71
Mg 0.7342 0.3474 0.5154  4 Ru 2.71


The following is a DFT calculation (PBE) of a geometry-optimized MgBiRu structure.

Values from the calculation:
Total magnetic moment (μB per cell): 0.0
Total energy (eV/atom): -4.90
SG: Cm, No. 8

Cell lengths 7.5038, 5.2772, 5.2765 Å; angles 141.74, 97.77, 73.37 degrees
Closest atoms and distances in Å follow each position.
Fractional coordinates of all 6 atoms:
Bi 0.9987 0.4859 0.0952  5 Ru 2.81-2.89
Bi 0.4582 0.7895 0.3321  3 Ru 2.74-2.93, 3 Mg 2.93-2.99
Ru 0.0736 0.1508 0.3552  4 Mg 2.73-2.82, 4 Bi 2.81-2.93, 1 Ru 3.04
Ru 0.7004 0.2519 0.6275  4 Bi 2.74-2.82, 4 Mg 2.79-2.90, 1 Ru 3.04
Mg 0.7735 0.9168 0.8893  5 Ru 2.79-2.90
Mg 0.3200 0.6050 0.6544  3 Ru 2.73-2.88, 3 Bi 2.93-2.99


The following is a DFT calculation (PBE) of a geometry-optimized Mg2Bi2Ru structure.

Values from the calculation:
Total magnetic moment (μB per cell): 0.0
Total energy (eV/atom): -3.83
SG: P4/mbm, No. 127

Cell lengths 7.0859, 7.0859, 4.9225 Å; angles 90.00, 90.00, 90.00 degrees
Closest atoms and distances in Å follow each position.
Fractional coordinates of all 10 atoms:
Mg 0.6680 0.8320 0.5000  6 Bi 3.04-3.36, 1 Mg 3.37
Mg 0.1680 0.6680 0.5000  6 Bi 3.04-3.36, 1 Mg 3.37
Mg 0.3320 0.1680 0.5000  6 Bi 3.04-3.36, 1 Mg 3.37
Mg 0.8320 0.3320 0.5000  6 Bi 3.04-3.36, 1 Mg 3.37
Bi 0.6534 0.1534 0.0000  2 Ru 2.69
Bi 0.8466 0.6534 0.0000  2 Ru 2.69
Bi 0.1534 0.3466 0.0000  2 Ru 2.69
Bi 0.3466 0.8466 0.0000  2 Ru 2.69
Ru 0.5000 0.5000 0.0000  4 Bi 2.69
Ru 0.0000 0.0000 0.0000  4 Bi 2.69


The following is a DFT calculation (PBE) of a geometry-optimized MgBiRu2 structure.

Values from the calculation:
Total magnetic moment (μB per cell): 3.3
Total energy (eV/atom): -5.24
SG: I-42d, No. 122

Cell lengths 7.3315, 7.3315, 5.9320 Å; angles 51.83, 51.83, 90.00 degrees
Closest atoms and distances in Å follow each position.
Fractional coordinates of all 8 atoms:
Mg 0.2500 0.7500 0.5000  4 Ru 2.69, 2 Bi 2.88
Mg 0.5000 0.5000 0.0000  4 Ru 2.69, 2 Bi 2.88
Bi 0.0000 0.0000 0.0000  4 Ru 2.70, 2 Mg 2.88
Bi 0.7500 0.2500 0.5000  4 Ru 2.70, 2 Mg 2.88
Ru 0.6241 0.1250 0.2500  2 Mg 2.69, 2 Bi 2.70, 2 Ru 2.88
Ru 0.3750 0.3759 0.7500  2 Mg 2.69, 2 Bi 2.70, 2 Ru 2.88
Ru 0.1259 0.6250 0.2500  2 Mg 2.69, 2 Bi 2.70, 2 Ru 2.88
Ru 0.8750 0.8741 0.7500  2 Mg 2.69, 2 Bi 2.70, 2 Ru 2.88